Record 1
The following is a PBEsol calculation of crystalline MnTe2Se at its relaxed geometry, from Alexandria.

Output
* formation energy without anion corrections: 0.403 eV/atom
* volume: 22.11 Å³ per atom

Cell: 5.110 5.110 3.386 Å, 90.00 90.00 90.00°
Space group P4/mmm (No. 123)
One atom of each set of equivalent atoms:
Mn (0.000, 0.000, 0.000)
Te (0.000, 0.500, 0.500)
Se (0.500, 0.500, 0.000)

***

Record 2
The following is a PBEsol calculation of crystalline Mn2TeSe at its relaxed geometry, from Alexandria.

Output
* distance to the lowest polymorph of the same formula: 382 meV/atom
* formation energy without anion corrections: 0.268 eV/atom
* volume: 21.96 Å³ per atom

Cell: 3.809 6.398 7.209 Å, 90.00 90.00 90.00°
Space group Immm (No. 71)
One atom of each set of equivalent atoms:
Mn (0.000, 0.000, 0.226)
Te (0.000, 0.500, 0.000)
Se (0.000, 0.500, 0.500)

***

Record 3
The following is a PBEsol calculation of crystalline Mn2TeSe at its relaxed geometry, from Alexandria.

Output
* distance to the lowest polymorph of the same formula: 381 meV/atom
* formation energy without anion corrections: 0.267 eV/atom
* volume: 20.74 Å³ per atom

Cell: 3.839 5.987 7.221 Å, 90.00 90.00 90.00°
Space group Cmmm (No. 65)
One atom of each set of equivalent atoms:
Mn (0.000, 0.000, 0.227)
Te (0.000, 0.500, 0.500)
Se (0.000, 0.500, 0.000)

***

Record 4
The following is a PBEsol calculation of crystalline Mn2TeSe at its relaxed geometry, from Alexandria.

Output
* distance to the lowest polymorph of the same formula: 102 meV/atom
* formation energy without anion corrections: -0.012 eV/atom
* volume: 20.17 Å³ per atom

Cell: 3.847 3.847 5.451 Å, 90.00 90.00 90.00°
Space group P4/mmm (No. 123)
One atom of each set of equivalent atoms:
Mn (0.000, 0.000, 0.000)
Mn (0.500, 0.500, 0.500)
Te (0.000, 0.000, 0.500)
Se (0.500, 0.500, 0.000)

***

Record 5
The following is a PBEsol calculation of crystalline Mn2TeSe at its relaxed geometry, from Alexandria.

Output
* distance to the lowest polymorph of the same formula: 104 meV/atom
* formation energy without anion corrections: -0.011 eV/atom
* volume: 17.22 Å³ per atom

Cell: 3.389 3.425 11.869 Å, 90.00 90.00 90.00°
Space group Amm2 (No. 38)
One atom of each set of equivalent atoms:
Mn (0.000, 0.000, 0.000)
Mn (0.500, 0.000, 0.171)
Te (0.000, 0.000, 0.779)
Se (0.500, 0.000, 0.526)

***

Record 6
The following is a PBEsol calculation of crystalline Mn2TeSe at its relaxed geometry, from Alexandria.

Output
* distance to the lowest polymorph of the same formula: 325 meV/atom
* formation energy without anion corrections: 0.211 eV/atom
* volume: 16.51 Å³ per atom

Cell: 6.417 6.417 6.417 Å, 90.00 90.00 90.00°
Space group Fm-3m (No. 225)
One atom of each set of equivalent atoms:
Mn (0.250, 0.250, 0.250)
Te (0.000, 0.000, 0.000)
Se (0.000, 0.000, 0.500)

***

Record 7
The following is a PBEsol calculation of crystalline Mn2TeSe at its relaxed geometry, from Alexandria.

Output
* distance to the lowest polymorph of the same formula: 61 meV/atom
* formation energy without anion corrections: -0.054 eV/atom
* volume: 19.61 Å³ per atom

Cell: 3.8029 3.8029 18.7909 Å, 90.00 90.00 120.00°
Space group R-3m (No. 166, hexagonal axes)
One atom of each set of equivalent atoms:
Mn (0.0000, 0.0000, 0.2408)
Te (0.0000, 0.0000, 0.0000)
Se (0.0000, 0.0000, 0.5000)

***

Record 8
The following is a PBEsol calculation of crystalline TiMnSe2 at its relaxed geometry, from Alexandria.

Output
* distance to the lowest polymorph of the same formula: 23 meV/atom
* formation energy without anion corrections: -0.455 eV/atom
* volume: 20.23 Å³ per atom

Cell: 3.4219 3.4219 23.9430 Å, 90.00 90.00 120.00°
Space group R-3m (No. 166, hexagonal axes)
One atom of each set of equivalent atoms:
Ti (0.0000, 0.0000, 0.0000)
Mn (0.0000, 0.0000, 0.5000)
Se (0.0000, 0.0000, 0.3994)